# 1
The following is a DFT calculation (PBE) of a geometry-optimized HfH2Cl3 structure.

## Properties
For the calculated density, the calculation gives 3.239 Mg/m³. As for the magnetization: 0.00 μB per formula unit. For the calculated volume, the calculation gives 24.514 A^3/atom. The energy is -58.2 eV for the cell shown.

a b c (Å): 7.5334 7.5334 5.9854
angles (deg): 90.00 90.00 120.00
Positions (direct):
Cl (0.6880, 0.8440, 0.2500)
Hf (0.0000, 0.0000, 0.0000)
Cl (0.1560, 0.8440, 0.2500)
H (0.6667, 0.3333, 0.1872)
H (0.3333, 0.6667, 0.6872)
Hf (0.0000, 0.0000, 0.5000)
Cl (0.1560, 0.3120, 0.2500)
Cl (0.8440, 0.1560, 0.7500)
Cl (0.8440, 0.6880, 0.7500)
H (0.3333, 0.6667, 0.8128)
Cl (0.3120, 0.1560, 0.7500)
H (0.6667, 0.3333, 0.3128)


# 2
The following is a DFT calculation (PBE) of a geometry-optimized Hf2HCl2 structure.

## Properties
The calculation puts the relative energy among the computed polymorphs at 5.73 eV/f.u. For the calculated density, the calculation gives 8.862 Mg/m³. As for the magnetization: 0.00 μB per formula unit. For the calculated volume, the calculation gives 16.072 A^3/atom.

a b c (Å): 7.0630 7.0630 3.2218
angles (deg): 90.00 90.00 90.00
Positions (direct):
Cl (0.1391, 0.6391, 0.5000)
Hf (0.6685, 0.1685, 0.0000)
Hf (0.8315, 0.6685, 0.0000)
H (0.0000, 0.0000, 0.0000)
H (0.5000, 0.5000, 0.0000)
Cl (0.3609, 0.1391, 0.5000)
Hf (0.1685, 0.3315, 0.0000)
Hf (0.3315, 0.8315, 0.0000)
Cl (0.6391, 0.8609, 0.5000)
Cl (0.8609, 0.3609, 0.5000)


# 3
The following is a DFT calculation (PBE) of a geometry-optimized Hf2HCl2 structure.

## Properties
The calculation puts the relative energy among the computed polymorphs at 6.85 eV/f.u. For the calculated density, the calculation gives 6.771 Mg/m³. As for the magnetization: 0.00 μB per formula unit. For the calculated volume, the calculation gives 21.037 A^3/atom.

a b c (Å): 4.1903 4.1903 6.6832
angles (deg): 71.73 71.73 90.00
Positions (direct):
Hf (0.6127, 0.6127, 0.7746)
Cl (0.2500, 0.7500, 0.5000)
Hf (0.3873, 0.3873, 0.2254)
H (0.0000, 0.0000, 0.0000)
Cl (0.7500, 0.2500, 0.5000)